Record 1
Computed, not measured: a relaxed SrSiPd2 crystal at the PBE-GGA level of DFT.

Lattice parameters (Å, degrees): 4.938 4.938 3.846 90.00 90.00 105.70
Atoms (fractional coordinates):
Sr  0.000  0.000  0.000
Si  0.500  0.500  0.000
Pd  0.324  0.676  0.500
Pd  0.676  0.324  0.500

Computed properties:
For the density, the calculation gives 6.0 g cm⁻³. As for the raw total energy: -18.92 eV per formula unit. The value obtained for the uncorrected formation energy is -357 meV per atom.

=====

Record 2
Computed, not measured: a relaxed Sr2SiPd crystal at the PBE-GGA level of DFT.

Lattice parameters (Å, degrees): 4.437 5.883 5.883 48.74 90.00 90.00
Atoms (fractional coordinates):
Sr  0.000  0.000  0.000
Sr  0.500  0.290  0.290
Si  0.000  0.691  0.691
Pd  0.500  0.597  0.597

Computed properties:
For the density, the calculation gives 4.5 g cm⁻³. As for the raw total energy: -16.24 eV per formula unit. The value obtained for the uncorrected formation energy is -566 meV per atom.

=====

Record 3
Computed, not measured: a relaxed SrSi2Pd2 crystal at the PBE-GGA level of DFT.

Lattice parameters (Å, degrees): 6.056 6.056 6.056 138.18 138.18 60.63
Atoms (fractional coordinates):
Sr  0.000  0.000  0.000
Si  0.250  0.750  0.500
Si  0.750  0.250  0.500
Pd  0.360  0.360  0.000
Pd  0.640  0.640  0.000

Computed properties:
For the density, the calculation gives 6.1 g cm⁻³. As for the raw total energy: -26.06 eV per formula unit. The value obtained for the uncorrected formation energy is -629 meV per atom.

=====

Record 4
Computed, not measured: a relaxed Sr3SiPd2 crystal at the PBE-GGA level of DFT.

Lattice parameters (Å, degrees): 12.226 4.389 13.051 90.00 90.00 90.00
Atoms (fractional coordinates):
Sr  0.067  0.250  0.116
Sr  0.120  0.750  0.549
Sr  0.194  0.250  0.800
Sr  0.306  0.750  0.300
Sr  0.380  0.250  0.049
Sr  0.433  0.750  0.616
Sr  0.567  0.250  0.384
Sr  0.620  0.750  0.951
Sr  0.694  0.250  0.700
Sr  0.806  0.750  0.200
Sr  0.880  0.250  0.451
Sr  0.933  0.750  0.884
Si  0.122  0.250  0.353
Si  0.378  0.750  0.853
Si  0.622  0.250  0.147
Si  0.878  0.750  0.647
Pd  0.044  0.750  0.318
Pd  0.211  0.750  0.967
Pd  0.289  0.250  0.467
Pd  0.456  0.250  0.818
Pd  0.544  0.750  0.182
Pd  0.711  0.750  0.533
Pd  0.789  0.250  0.033
Pd  0.956  0.250  0.682

Computed properties:
For the density, the calculation gives 4.8 g cm⁻³. As for the raw total energy: -24.30 eV per formula unit. The value obtained for the uncorrected formation energy is -574 meV per atom.

=====

Among the records above, which one has the highest raw total energy?
Sr2SiPd